1.
The following is a GGA-PBE calculation of a relaxed structure of CrSi2Br, from the Alexandria database.

Unit cell a=9.0594 b=9.0594 c=9.0594 alpha=19.38 beta=19.38 gamma=19.38
Element x y z (fractional)
1 Br 0.4737 0.4737 0.4737
2 Cr 0.7449 0.7449 0.7449
3 Si 0.0090 0.0090 0.0090
4 Si 0.2723 0.2723 0.2723

Properties
ρ = 4.36 g/cm³
DOS(E_F) = 3.8 states/eV/cell
size of the total moment = 0.18 μB/atom
calculated total energy = -5.154 eV/atom

***

2.
The following is a GGA-PBE calculation of a relaxed structure of CrSiBr2, from the Alexandria database.

Unit cell a=3.3685 b=3.6012 c=8.3246 alpha=72.14 beta=90.00 gamma=90.00
Element x y z (fractional)
1 Br 0.0000 0.2015 0.9008
2 Br 0.5000 0.3643 0.3511
3 Cr 0.0000 0.2410 0.5949
4 Si 0.5000 0.6932 0.6531

Properties
ρ = 4.14 g/cm³
DOS(E_F) = 1.9 states/eV/cell
size of the total moment = 0.52 μB/atom
calculated total energy = -4.674 eV/atom

***

3.
The following is a GGA-PBE calculation of a relaxed structure of CrSiBr2, from the Alexandria database.

Unit cell a=8.0811 b=8.0811 c=8.0811 alpha=155.80 beta=150.18 gamma=38.77
Element x y z (fractional)
1 Br 0.9980 0.9980 0.0000
2 Br 0.7586 0.2586 0.5000
3 Cr 0.4396 0.4396 0.0000
4 Si 0.3039 0.8039 0.5000

Properties
ρ = 3.71 g/cm³
DOS(E_F) = 1.6 states/eV/cell
size of the total moment = 1.00 μB/atom
calculated total energy = -4.364 eV/atom